First-principles (PBE) data for a geometry-optimized TlSbBr structure, as listed in Alexandria via LeMat-Bulk.

Structure (CIF):
```
data_TlSbBr
_symmetry_space_group_name_H-M 'I m m 2'
_symmetry_Int_Tables_number 44
_cell_length_a 3.5984
_cell_length_b 5.5079
_cell_length_c 10.7728
_cell_angle_alpha 90.00
_cell_angle_beta 90.00
_cell_angle_gamma 90.00
loop_
_symmetry_equiv_pos_as_xyz
'x,y,z'
'-x,-y,z'
'-x,y,z'
'x,-y,z'
'x+1/2,y+1/2,z+1/2'
'-x+1/2,-y+1/2,z+1/2'
'-x+1/2,y+1/2,z+1/2'
'x+1/2,-y+1/2,z+1/2'
loop_
_atom_site_label
_atom_site_type_symbol
_atom_site_fract_x
_atom_site_fract_y
_atom_site_fract_z
_atom_site_occupancy
Tl1 Tl 0.0000 0.0000 0.0000 1
Sb1 Sb 0.0000 0.0000 0.4411 1
Br1 Br 0.0000 0.0000 0.6857 1
```

Properties
As for the formation energy without anion corrections: -113.6 meV per atom. The calculated volume comes out at 35.59 Å³/atom. The energy above the most stable polymorph in this dataset is 215.0 meV/atom.